Mg2CdTc | PBE-GGA | relaxed Values from VASP.

```
&SYSTEM
  ibrav = 0, nat = 4, ntyp = 3
/
ATOMIC_SPECIES
Mg 24.30 Mg.upf
Cd 112.41 Cd.upf
Tc 98.00 Tc.upf
CELL_PARAMETERS angstrom
1.492 0.861 9.820
-1.492 0.861 9.820
0.000 -1.723 9.820
ATOMIC_POSITIONS angstrom
Mg 0.000 0.000 0.000
Mg 0.000 0.000 7.134
Cd 0.000 0.000 14.360
Tc 0.000 0.000 21.833
```

**Spin magnetization**: 0.565 μB/f.u.
**DFT total energy**: -3.35 eV/atom
**Energy of formation from the pure elements**: 271 meV/atom
**Space-group type**: R3m
**Calculated density**: 5.680 g/cm3
**V**: 18.93 Å³/atom
**DOS(E_F)**: 3.2 states/eV/f.u.

=====

Er3NpO6F2 | PBE-GGA | relaxed Values from VASP.

```
&SYSTEM
  ibrav = 0, nat = 12, ntyp = 4
/
ATOMIC_SPECIES
Er 167.26 Er.upf
Np 237.00 Np.upf
O 16.00 O.upf
F 19.00 F.upf
CELL_PARAMETERS angstrom
5.865 -3.332 0.000
5.865 3.332 0.000
-0.243 0.000 4.676
ATOMIC_POSITIONS angstrom
Er 0.000 0.000 0.000
Er 2.811 1.666 2.338
Er 2.811 -1.666 2.338
Np 5.743 0.000 2.338
O 4.768 1.656 3.405
O 6.718 1.656 1.271
O 3.841 0.000 1.382
O 7.645 0.000 3.294
O 4.768 -1.656 3.405
O 6.718 -1.656 1.271
F 1.805 0.000 3.545
F 9.681 0.000 1.131
```

**Spin magnetization**: 2.000 μB/f.u.
**E_form (uncorrected)**: -3.39 eV/atom
**DFT total energy**: -8.40 eV/atom
**Space-group type**: C2/m
**Calculated density**: 7.930 g/cm3
**V**: 15.23 Å³/atom
**DOS(E_F)**: 7.3 states/eV/f.u.

=====

TbPmZnGe | PBE-GGA | relaxed Values from VASP.

```
&SYSTEM
  ibrav = 0, nat = 4, ntyp = 4
/
ATOMIC_SPECIES
Tb 158.93 Tb.upf
Pm 145.00 Pm.upf
Zn 65.41 Zn.upf
Ge 72.64 Ge.upf
CELL_PARAMETERS angstrom
4.142 0.000 0.000
0.000 2.130 5.559
0.000 -2.130 5.559
ATOMIC_POSITIONS angstrom
Tb 0.000 0.000 0.000
Pm 2.071 0.000 7.977
Zn 0.000 0.000 3.226
Ge 2.071 0.000 4.861
```

**Excess energy over the best structure of this formula in the dataset**: 0 meV per atom
**Spin magnetization**: 0.436 μB/f.u.
**DFT total energy**: -4.42 eV/atom
**Energy of formation from the pure elements**: -602 meV/atom
**Space-group type**: Amm2
**Calculated density**: 7.481 g/cm3
**V**: 24.52 Å³/atom
**DOS(E_F)**: 4.2 states/eV/f.u.

=====

KRb2Bi | PBE-GGA | relaxed Values from VASP.

```
&SYSTEM
  ibrav = 0, nat = 4, ntyp = 3
/
ATOMIC_SPECIES
K 39.10 K.upf
Rb 85.47 Rb.upf
Bi 208.98 Bi.upf
CELL_PARAMETERS angstrom
4.358 0.000 0.000
0.000 4.358 0.000
0.000 0.000 12.634
ATOMIC_POSITIONS angstrom
K 0.000 0.000 0.000
Rb 2.179 2.179 4.115
Rb 2.179 2.179 8.518
Bi 0.000 0.000 6.317
```

**Spin magnetization**: 0.000 μB/f.u.
**DFT total energy**: -1.86 eV/atom
**Energy of formation from the pure elements**: -131 meV/atom
**Space-group type**: P4/mmm
**Calculated density**: 2.900 g/cm3
**V**: 59.98 Å³/atom
**DOS(E_F)**: 1.4 states/eV/f.u.